Li after structural relaxation, computed with PBEsol.

```
Li
1.0
2.706 0.000 0.000
0.000 2.916 0.000
0.000 -1.458 2.525
Li
1
Direct
0.000 0.000 0.000
```

Values from the calculation:
energy of formation from the pure elements: 0.065 eV/atom
spin magnetization: 0.0 μB per formula unit
V: 19.92 A^3/atom



Li after structural relaxation, computed with PBEsol.

```
Li
1.0
-1.357 -2.675 -0.741
2.772 0.656 -1.006
2.466 -1.541 1.045
Li
1
Direct
0.000 0.000 0.000
```

Values from the calculation:
energy of formation from the pure elements: 0.000 eV/atom
spin magnetization: 0.0 μB per formula unit
V: 19.92 A^3/atom



Li after structural relaxation, computed with PBEsol.

```
Li
1.0
-2.909 0.483 -0.270
0.449 -2.459 1.588
1.260 2.303 1.370
Li
1
Direct
0.000 0.000 0.000
```

Values from the calculation:
energy of formation from the pure elements: 0.001 eV/atom
spin magnetization: 0.0 μB per formula unit
V: 19.98 A^3/atom